## CaLa2Th (PBE)

Data for a relaxed structure of CaLa2Th.

Cell and atoms, written as CIF:
```
data_CaLa2Th
_chemical_formula_sum 'Ca2 La4 Th2'
_space_group_name_H-M_alt 'P 63/m m c'
_space_group_IT_number 194
_space_group_name_Hall '-P 6c 2c'
_cell_length_a 3.6839
_cell_length_b 3.6839
_cell_length_c 24.9966
_cell_angle_alpha 90.00
_cell_angle_beta 90.00
_cell_angle_gamma 120.00
loop_
_atom_site_label
_atom_site_type_symbol
_atom_site_fract_x
_atom_site_fract_y
_atom_site_fract_z
Ca1 Ca 0.3333 0.6667 0.2500
La1 La 0.3333 0.6667 0.6149
Th1 Th 0.0000 0.0000 0.0000
```

Summary:
magnetization = 0.00 μB/atom
energy above the lowest structure with this stoichiometry = 17 meV per atom
electronic total energy = -4.7834 eV/atom
ΔH_f (0 K) = 0.04 eV per atom

=====

## LaTiNb3 (PBE)

Data for a relaxed structure of LaTiNb3.

Cell and atoms, written as CIF:
```
data_LaTiNb3
_chemical_formula_sum 'La1 Ti1 Nb3'
_space_group_name_H-M_alt 'P m -3 m'
_space_group_IT_number 221
_space_group_name_Hall '-P 4 2 3'
_cell_length_a 4.891
_cell_length_b 4.891
_cell_length_c 4.891
_cell_angle_alpha 90.00
_cell_angle_beta 90.00
_cell_angle_gamma 90.00
loop_
_atom_site_label
_atom_site_type_symbol
_atom_site_fract_x
_atom_site_fract_y
_atom_site_fract_z
La1 La 0.000 0.000 0.000
Ti1 Ti 0.500 0.500 0.500
Nb1 Nb 0.000 0.000 0.500
```

Summary:
magnetization = 0.00 μB/atom
energy above the lowest structure with this stoichiometry = 904 meV per atom
electronic total energy = -6.8252 eV/atom
ΔH_f (0 K) = 1.78 eV per atom

=====

## GaSn2Sb (PBE)

Data for a relaxed structure of GaSn2Sb.

Cell and atoms, written as CIF:
```
data_GaSn2Sb
_chemical_formula_sum 'Ga3 Sn6 Sb3'
_space_group_name_H-M_alt 'R -3 m'
_space_group_IT_number 166
_space_group_name_Hall '-R 3 2"'
_cell_length_a 3.3071
_cell_length_b 3.3071
_cell_length_c 33.5040
_cell_angle_alpha 90.00
_cell_angle_beta 90.00
_cell_angle_gamma 120.00
loop_
_atom_site_label
_atom_site_type_symbol
_atom_site_fract_x
_atom_site_fract_y
_atom_site_fract_z
Ga1 Ga 0.0000 0.0000 0.0000
Sn1 Sn 0.0000 0.0000 0.4070
Sb1 Sb 0.0000 0.0000 0.5000
```

Summary:
magnetization = 0.00 μB/atom
energy above the lowest structure with this stoichiometry = 93 meV per atom
electronic total energy = -3.7125 eV/atom
formation energy from raw total energies = 0.31 eV/f.u.

=====

## Tb2GaIr2Rh5 (PBE)

Data for a relaxed structure of Tb2GaIr2Rh5.

Cell and atoms, written as CIF:
```
data_Tb2GaIr2Rh5
_chemical_formula_sum 'Tb4 Ga2 Ir4 Rh10'
_space_group_name_H-M_alt 'P 4/m b m'
_space_group_IT_number 127
_space_group_name_Hall '-P 4 2ab'
_cell_length_a 9.389
_cell_length_b 9.389
_cell_length_c 3.950
_cell_angle_alpha 90.00
_cell_angle_beta 90.00
_cell_angle_gamma 90.00
loop_
_atom_site_label
_atom_site_type_symbol
_atom_site_fract_x
_atom_site_fract_y
_atom_site_fract_z
Tb1 Tb 0.165 0.335 0.000
Ga1 Ga 0.000 0.000 0.000
Ir1 Ir 0.133 0.633 0.000
Rh1 Rh 0.000 0.500 0.500
Rh2 Rh 0.067 0.805 0.500
```

Summary:
magnetization = 0.00 μB/atom
electronic total energy = -7.0995 eV/atom
ΔH_f (0 K) = -0.42 eV per atom

=====

## Li2Er3Pb4 (PBE)

Data for a relaxed structure of Li2Er3Pb4.

Cell and atoms, written as CIF:
```
data_Li2Er3Pb4
_chemical_formula_sum 'Li4 Er6 Pb8'
_space_group_name_H-M_alt 'C 1 2/m 1'
_space_group_IT_number 12
_cell_length_a 11.690
_cell_length_b 4.614
_cell_length_c 8.925
_cell_angle_alpha 90.00
_cell_angle_beta 109.25
_cell_angle_gamma 90.00
loop_
_space_group_symop_operation_xyz
'x,y,z'
'-x,-y,-z'
'-x,y,-z'
'x,-y,z'
'x+1/2,y+1/2,z'
'-x+1/2,-y+1/2,-z'
'-x+1/2,y+1/2,-z'
'x+1/2,-y+1/2,z'
loop_
_atom_site_label
_atom_site_type_symbol
_atom_site_fract_x
_atom_site_fract_y
_atom_site_fract_z
Li1 Li 0.195 0.000 0.381
Er1 Er 0.000 0.500 0.000
Er2 Er 0.126 0.000 0.693
Pb1 Pb 0.077 0.500 0.381
Pb2 Pb 0.199 0.000 0.082
```

Summary:
magnetization = 0.00 μB/atom
electronic total energy = -3.9723 eV/atom
ΔH_f (0 K) = -0.38 eV per atom

=====

## LaPbCl (PBE)

Data for a relaxed structure of LaPbCl.

Cell and atoms, written as CIF:
```
data_LaPbCl
_chemical_formula_sum 'La4 Pb4 Cl4'
_space_group_name_H-M_alt 'F -4 3 m'
_space_group_IT_number 216
_space_group_name_Hall 'F -4 2 3'
_cell_length_a 7.597
_cell_length_b 7.597
_cell_length_c 7.597
_cell_angle_alpha 90.00
_cell_angle_beta 90.00
_cell_angle_gamma 90.00
loop_
_atom_site_label
_atom_site_type_symbol
_atom_site_fract_x
_atom_site_fract_y
_atom_site_fract_z
La1 La 0.000 0.000 0.000
Pb1 Pb 0.250 0.250 0.750
Cl1 Cl 0.000 0.000 0.500
```

Summary:
magnetization = 0.28 μB/atom
energy above the lowest structure with this stoichiometry = 928 meV per atom
electronic total energy = -3.7561 eV/atom
formation energy from raw total energies = -0.79 eV/f.u.

=====

## InBiBPb2 (PBE)

Data for a relaxed structure of InBiBPb2.

Cell and atoms, written as CIF:
```
data_InBiBPb2
_chemical_formula_sum 'In1 Bi1 B1 Pb2'
_space_group_name_H-M_alt 'P 4/m m m'
_space_group_IT_number 123
_space_group_name_Hall '-P 4 2'
_cell_length_a 5.133
_cell_length_b 5.133
_cell_length_c 4.981
_cell_angle_alpha 90.00
_cell_angle_beta 90.00
_cell_angle_gamma 90.00
loop_
_atom_site_label
_atom_site_type_symbol
_atom_site_fract_x
_atom_site_fract_y
_atom_site_fract_z
In1 In 0.000 0.000 0.000
Bi1 Bi 0.500 0.500 0.000
B1 B 0.000 0.000 0.500
Pb1 Pb 0.000 0.500 0.500
```

Summary:
magnetization = 0.00 μB/atom
electronic total energy = -3.6497 eV/atom
ΔH_f (0 K) = 0.49 eV per atom

=====

## Ca3DyF8 (PBE)

Data for a relaxed structure of Ca3DyF8.

Cell and atoms, written as CIF:
```
data_Ca3DyF8
_chemical_formula_sum 'Ca3 Dy1 F8'
_space_group_name_H-M_alt 'P m -3 m'
_space_group_IT_number 221
_space_group_name_Hall '-P 4 2 3'
_cell_length_a 5.545
_cell_length_b 5.545
_cell_length_c 5.545
_cell_angle_alpha 90.00
_cell_angle_beta 90.00
_cell_angle_gamma 90.00
loop_
_atom_site_label
_atom_site_type_symbol
_atom_site_fract_x
_atom_site_fract_y
_atom_site_fract_z
Ca1 Ca 0.000 0.000 0.500
Dy1 Dy 0.500 0.500 0.500
F1 F 0.251 0.251 0.251
```

Summary:
magnetization = 0.07 μB/atom
electronic total energy = -5.8868 eV/atom
formation energy from raw total energies = -45.06 eV/f.u.

=====

## TbPd2Au5 (PBE)

Data for a relaxed structure of TbPd2Au5.

Cell and atoms, written as CIF:
```
data_TbPd2Au5
_chemical_formula_sum 'Tb2 Pd4 Au10'
_space_group_name_H-M_alt 'P b a m'
_space_group_IT_number 55
_cell_length_a 5.885
_cell_length_b 11.820
_cell_length_c 4.211
_cell_angle_alpha 90.00
_cell_angle_beta 90.00
_cell_angle_gamma 90.00
loop_
_space_group_symop_operation_xyz
'x,y,z'
'-x,-y,-z'
'-x,-y,z'
'x,y,-z'
'x+1/2,-y+1/2,-z'
'-x+1/2,y+1/2,z'
'-x+1/2,y+1/2,-z'
'x+1/2,-y+1/2,z'
loop_
_atom_site_label
_atom_site_type_symbol
_atom_site_fract_x
_atom_site_fract_y
_atom_site_fract_z
Tb1 Tb 0.000 0.000 0.000
Pd1 Pd 0.248 0.376 0.500
Au1 Au 0.000 0.500 0.000
Au2 Au 0.002 0.249 0.000
Au3 Au 0.243 0.628 0.500
```

Summary:
magnetization = 0.00 μB/atom
electronic total energy = -4.3545 eV/atom
ΔH_f (0 K) = -0.43 eV per atom

=====

## LaCrHg3 (PBE)

Data for a relaxed structure of LaCrHg3.

Cell and atoms, written as CIF:
```
data_LaCrHg3
_chemical_formula_sum 'La1 Cr1 Hg3'
_space_group_name_H-M_alt 'P m -3 m'
_space_group_IT_number 221
_space_group_name_Hall '-P 4 2 3'
_cell_length_a 5.065
_cell_length_b 5.065
_cell_length_c 5.065
_cell_angle_alpha 90.00
_cell_angle_beta 90.00
_cell_angle_gamma 90.00
loop_
_atom_site_label
_atom_site_type_symbol
_atom_site_fract_x
_atom_site_fract_y
_atom_site_fract_z
La1 La 0.000 0.000 0.000
Cr1 Cr 0.500 0.500 0.500
Hg1 Hg 0.000 0.500 0.500
```

Summary:
magnetization = 0.00 μB/atom
energy above the lowest structure with this stoichiometry = 0 meV per atom
electronic total energy = -2.8305 eV/atom
ΔH_f (0 K) = 0.26 eV per atom

=====

## Sm5TcHg2 (PBE)

Data for a relaxed structure of Sm5TcHg2.

Cell and atoms, written as CIF:
```
data_Sm5TcHg2
_chemical_formula_sum 'Sm10 Tc2 Hg4'
_space_group_name_H-M_alt 'P b a m'
_space_group_IT_number 55
_cell_length_a 7.404
_cell_length_b 12.306
_cell_length_c 4.940
_cell_angle_alpha 90.00
_cell_angle_beta 90.00
_cell_angle_gamma 90.00
loop_
_space_group_symop_operation_xyz
'x,y,z'
'-x,-y,-z'
'-x,-y,z'
'x,y,-z'
'x+1/2,-y+1/2,-z'
'-x+1/2,y+1/2,z'
'-x+1/2,y+1/2,-z'
'x+1/2,-y+1/2,z'
loop_
_atom_site_label
_atom_site_type_symbol
_atom_site_fract_x
_atom_site_fract_y
_atom_site_fract_z
Sm1 Sm 0.000 0.000 0.000
Sm2 Sm 0.140 0.294 0.000
Sm3 Sm 0.181 0.579 0.500
Tc1 Tc 0.000 0.500 0.000
Hg1 Hg 0.085 0.835 0.500
```

Summary:
magnetization = 0.00 μB/atom
electronic total energy = -4.5570 eV/atom
ΔH_f (0 K) = -0.24 eV per atom

=====

## NdAs2Ir (PBE)

Data for a relaxed structure of NdAs2Ir.

Cell and atoms, written as CIF:
```
data_NdAs2Ir
_chemical_formula_sum 'Nd3 As6 Ir3'
_space_group_name_H-M_alt 'R -3 m'
_space_group_IT_number 166
_space_group_name_Hall '-R 3 2"'
_cell_length_a 4.0845
_cell_length_b 4.0845
_cell_length_c 16.9053
_cell_angle_alpha 90.00
_cell_angle_beta 90.00
_cell_angle_gamma 120.00
loop_
_atom_site_label
_atom_site_type_symbol
_atom_site_fract_x
_atom_site_fract_y
_atom_site_fract_z
Nd1 Nd 0.0000 0.0000 0.0000
As1 As 0.0000 0.0000 0.2280
Ir1 Ir 0.0000 0.0000 0.5000
```

Summary:
magnetization = 0.00 μB/atom
energy above the lowest structure with this stoichiometry = 0 meV per atom
electronic total energy = -6.5622 eV/atom
ΔH_f (0 K) = -0.83 eV per atom